# PBE Sc2Al5Tc2Au, relaxed
data_Sc2Al5Tc2Au
_chemical_formula_sum 'Sc4 Al10 Tc4 Au2'
_cell_length_a 10.118
_cell_length_b 10.118
_cell_length_c 3.435
_cell_angle_alpha 90.00
_cell_angle_beta 90.00
_cell_angle_gamma 90.00
_symmetry_space_group_name_H-M 'P 4/m b m'
_symmetry_Int_Tables_number 127
_symmetry_space_group_name_Hall '-P 4 2ab'
loop_
_atom_site_label
_atom_site_type_symbol
_atom_site_fract_x
_atom_site_fract_y
_atom_site_fract_z
Sc1 Sc 0.188 0.312 0.000
Al1 Al 0.000 0.500 0.500
Al2 Al 0.050 0.799 0.500
Tc1 Tc 0.125 0.625 0.000
Au1 Au 0.000 0.000 0.000
# DOS(E_F), states/eV per cell: 14.98
# Total DFT energy (no corrections), eV per atom: -5.82